A plane-wave DFT calculation with PBE was carried out for a relaxed structure of LiPm2Pa.

Properties
- Excess energy over the best structure of this formula in the dataset: 0.2195 eV per atom
- Formation enthalpy at 0 K: 363 meV/atom
- DFT total energy: -4.86 eV/atom
- Magnetic moment: 0.0 μB per formula unit
- Symmetry: R-3m

```
data_LiPm2Pa
_chemical_formula_sum 'Li1 Pm2 Pa1'
_cell_length_a 12.3143
_cell_length_b 12.3143
_cell_length_c 12.3143
_cell_angle_alpha 15.30
_cell_angle_beta 15.30
_cell_angle_gamma 15.30
_space_group_name_H-M_alt 'P 1'
_space_group_IT_number 1
loop_
_space_group_symop_operation_xyz
'x,y,z'
loop_
_atom_site_label
_atom_site_fract_x
_atom_site_fract_y
_atom_site_fract_z
Li1 0.0000 0.0000 0.0000
Pm1 0.4123 0.4123 0.4123
Pm2 0.5877 0.5877 0.5877
Pa1 0.5000 0.5000 0.5000
```